Here is an optimized crystal structure of CeGa12Au4 from the Alexandria database. Energies are from PBE.

ΔH_f (0 K) = -0.17 eV/atom
Density = 8.2 Mg/m³
Space-group type = Im-3

```
CeGa12Au4
1.0
-4.7933 -5.5079 2.6014
6.2482 0.3582 4.5729
-3.6457 6.8399 0.0661
Ce Ga Au
1 12 4
direct
0.0000 0.0000 0.0000
0.8535 0.3537 0.2072
0.3537 0.5002 0.1465
0.7928 0.1465 0.6463
0.3537 0.2072 0.8535
0.2072 0.8535 0.3537
0.6463 0.4998 0.8535
0.5002 0.1465 0.3537
0.4998 0.8535 0.6463
0.6463 0.7928 0.1465
0.8535 0.6463 0.4998
0.1465 0.3537 0.5002
0.1465 0.6463 0.7928
0.0000 0.5000 0.0000
0.5000 0.0000 0.0000
0.5000 0.5000 0.5000
0.0000 0.0000 0.5000
```

***

Here is an optimized crystal structure of V2Mo2Ir3 from the Alexandria database. Energies are from PBE.

ΔH_f (0 K) = -0.19 eV/atom
Density = 14.0 Mg/m³
Space-group type = Cmmm

```
V2Mo2Ir3
1.0
4.0550 0.0000 0.5381
0.0000 2.7372 0.0000
0.8176 -0.0001 9.3859
V Mo Ir
2 2 3
direct
0.5664 0.5000 0.8671
0.4336 0.5000 0.1329
0.7079 0.5000 0.5842
0.2921 0.5000 0.4158
0.8517 0.0000 0.2967
0.0000 0.0000 0.0000
0.1483 0.0000 0.7033
```

***

Here is an optimized crystal structure of ZnGaNi from the Alexandria database. Energies are from PBE.

ΔH_f (0 K) = -0.27 eV/atom
Density = 7.0 Mg/m³
Space-group type = Imma

```
ZnGaNi
1.0
-1.5039 3.0940 3.9497
0.3041 -4.6153 3.7311
5.6674 1.2968 1.1421
Zn Ga Ni
4 4 4
direct
0.0000 0.0000 0.0000
0.0000 0.5000 0.0000
0.5000 0.5000 0.5000
0.5000 0.0000 0.5000
0.0000 0.0000 0.5000
0.0000 0.5000 0.5000
0.5000 0.5000 0.0000
0.5000 0.0000 0.0000
0.2500 0.2500 0.2500
0.2500 0.7500 0.7500
0.7500 0.7500 0.7500
0.7500 0.2500 0.2500
```

***

Here is an optimized crystal structure of Tb4DyAl2 from the Alexandria database. Energies are from PBE.

ΔH_f (0 K) = 0.10 eV/atom
Density = 6.4 Mg/m³
Space-group type = R-3m

```
Tb4DyAl2
1.0
-4.5988 -0.6569 -1.9668
-0.7269 -3.4347 -3.6226
-3.7709 -8.3101 5.1231
Tb Dy Al
4 1 2
direct
0.7024 0.7024 0.8929
0.8975 0.8975 0.3075
0.2976 0.2976 0.1071
0.1025 0.1025 0.6925
0.5000 0.5000 0.5000
0.5995 0.5995 0.2016
0.4005 0.4005 0.7984
```

***

Here is an optimized crystal structure of Pm4MgZn5 from the Alexandria database. Energies are from PBE.

ΔH_f (0 K) = -0.27 eV/atom
Density = 6.6 Mg/m³
Space-group type = P4/mmm

```
Pm4MgZn5
1.0
3.6144 0.0000 0.0000
0.0000 3.6144 0.0000
0.0000 0.0000 17.8365
Pm Mg Zn
4 1 5
direct
0.0000 0.0000 0.1908
0.0000 0.0000 0.3959
0.0000 0.0000 0.6041
0.0000 0.0000 0.8092
0.0000 0.0000 0.0000
0.5000 0.5000 0.0831
0.5000 0.5000 0.2938
0.5000 0.5000 0.5000
0.5000 0.5000 0.7062
0.5000 0.5000 0.9169
```

***

Here is an optimized crystal structure of CsCrP3 from the Alexandria database. Energies are from PBE.

ΔH_f (0 K) = 0.29 eV/atom
Density = 4.5 Mg/m³
Space-group type = Pm-3m

```
CsCrP3
1.0
4.6899 0.0000 0.0000
0.0000 4.6899 0.0000
0.0000 0.0000 4.6899
Cs Cr P
1 1 3
direct
0.5000 0.5000 0.5000
0.0000 0.0000 0.0000
0.0000 0.5000 0.0000
0.0000 0.0000 0.5000
0.5000 0.0000 0.0000
```

***

no.,M_tot (μB per atom),calculated total energy (eV/atom)
1,0.0649,-3.42
2,0.0000,-9.69
3,0.0000,-3.63
4,0.0000,-4.27
5,0.0001,-2.97
6,0.0001,-5.05